(1)
This record from the Alexandria database describes crystalline K2LiLaI6 at its relaxed geometry. The functional is PBE.

Output
The value obtained for the energy is -3.268 eV/atom. The formation energy (no corrections) comes out at -1.435 eV/atom.

Lattice parameters (Å, degrees): 8.2361 8.7138 11.7695 90.00 88.94 90.00
With the nearest neighbours (Å) after each atom.
Sites, in units of the cell vectors:
I: 0.3114 0.6999 0.0561  1 Li 3.11, 1 La 3.18
I: 0.3884 0.9745 0.7587  1 Li 3.01, 1 La 3.17
I: 0.1945 0.1937 0.0543  1 Li 3.09, 1 La 3.18
I: 0.8114 0.8001 0.5561  1 Li 3.11, 1 La 3.18
I: 0.1116 0.4745 0.7413  1 Li 3.01, 1 La 3.17
I: 0.6886 0.3001 0.9439  1 Li 3.11, 1 La 3.18
I: 0.1886 0.1999 0.4439  1 Li 3.11, 1 La 3.18
I: 0.6116 0.0255 0.2413  1 Li 3.01, 1 La 3.17
I: 0.6945 0.3063 0.5543  1 Li 3.09, 1 La 3.18
I: 0.8055 0.8063 0.9457  1 Li 3.09, 1 La 3.18
I: 0.8884 0.5255 0.2587  1 Li 3.01, 1 La 3.17
I: 0.3055 0.6937 0.4457  1 Li 3.09, 1 La 3.18
K: 0.9695 0.0855 0.7443  6 I 3.59-3.76
K: 0.5305 0.5855 0.7557  6 I 3.59-3.76
K: 0.4695 0.4145 0.2443  6 I 3.59-3.76
K: 0.0305 0.9145 0.2557  6 I 3.59-3.76
La: 0.0000 0.5000 0.0000  6 I 3.17-3.18
La: 0.5000 0.0000 0.5000  6 I 3.17-3.18
Li: 0.0000 0.5000 0.5000  6 I 3.01-3.11
Li: 0.5000 0.0000 0.0000  6 I 3.01-3.11

***

(2)
This record from the Alexandria database describes crystalline KBeOs3 at its relaxed geometry. The functional is PBE.

Output
The value obtained for the energy is -3.623 eV/atom. The excess energy over the best structure of this formula in the dataset is 2522 meV/atom. As for the calculated formation energy: 4.079 eV per atom.

Lattice parameters (Å, degrees): 4.5497 4.5497 4.5497 90.00 90.00 90.00
With the nearest neighbours (Å) after each atom.
Sites, in units of the cell vectors:
K: 0.0000 0.0000 0.0000  6 Os 2.27
Os: 0.0000 0.5000 0.0000  2 K 2.27
Os: 0.5000 0.0000 0.0000  2 K 2.27
Os: 0.0000 0.0000 0.5000  2 K 2.27
Be: 0.5000 0.5000 0.5000  12 Os 3.22

***

(3)
This record from the Alexandria database describes crystalline La2ZnTe at its relaxed geometry. The functional is PBE.

Output
The value obtained for the energy is -4.403 eV/atom. The excess energy over the best structure of this formula in the dataset is 46 meV/atom. The formation energy (no corrections) comes out at -0.835 eV/atom.

Lattice parameters (Å, degrees): 6.3467 6.3467 4.8846 90.77 90.77 38.38
With the nearest neighbours (Å) after each atom.
Sites, in units of the cell vectors:
Te: 0.4751 0.4751 0.6209  7 La 3.24-3.41, 2 Zn 3.47-3.58
Zn: 0.2629 0.2629 0.1289  5 La 3.01-3.22
La: 0.0116 0.0116 0.1225  1 Zn 3.01, 4 Te 3.24
La: 0.7504 0.7504 0.6277  4 Zn 3.21-3.22, 3 Te 3.30-3.41

***

(4)
This record from the Alexandria database describes crystalline LaI3 at its relaxed geometry. The functional is PBE.

Output
The value obtained for the energy is -3.882 eV/atom. The formation energy (no corrections) comes out at -1.488 eV/atom.

Lattice parameters (Å, degrees): 4.2404 7.8636 7.6982 120.71 105.99 90.00
With the nearest neighbours (Å) after each atom.
Sites, in units of the cell vectors:
La: 0.0000 0.0425 0.0000  6 I 3.19-3.20
I: 0.6651 0.0542 0.3302  2 La 3.20
I: 0.3349 0.7240 0.6698  2 La 3.20
I: 0.5000 0.3460 0.0000  2 La 3.19